1.
DFT (PBE) results for a relaxed AcLaAuI crystal.

abc: 4.433 4.433 8.866
angles: 90.00 104.48 120.01
Sites, in units of the cell vectors:
Ac  0.105  0.951  0.071
La  0.499  0.148  0.662
Au  0.298  0.547  0.860
I  0.975  0.386  0.376

Computed properties:
As for the total DFT energy (no corrections): -17.45 eV/cell. For the density of states at the Fermi level, the calculation gives 2.787 states/eV/cell. The calculation puts the total magnetization at 0.00 μB/f.u. Its raw formation energy is -86.4 kJ per mole of atoms.

2.
DFT (PBE) results for a relaxed RbGa2Sn2 crystal.

abc: 4.971 4.971 6.680
angles: 68.15 68.15 90.00
Sites, in units of the cell vectors:
Ga  0.385  0.385  0.230
Ga  0.615  0.615  0.770
Sn  0.750  0.250  0.500
Sn  0.250  0.750  0.500
Rb  0.000  0.000  0.000

Computed properties:
As for the formation energy from the elements: -0.15 eV/atom. The value obtained for the distance to the lowest polymorph of the same formula is 0.0156 eV per atom. As for the total DFT energy (no corrections): -15.75 eV/cell. For the density of states at the Fermi level, the calculation gives 1.866 states/eV/cell. The calculation puts the total magnetization at 0.00 μB/f.u.

3.
DFT (PBE) results for a relaxed K2AgF crystal.

abc: 4.074 4.074 8.258
angles: 75.72 75.72 60.00
Sites, in units of the cell vectors:
K  0.064  0.064  0.808
K  0.270  0.270  0.191
Ag  0.500  0.500  0.501
F  0.667  0.667  0.000

Computed properties:
The value obtained for the distance to the lowest polymorph of the same formula is 0.0277 eV per atom. As for the total DFT energy (no corrections): -11.77 eV/cell. For the density of states at the Fermi level, the calculation gives 0.648 states/eV/cell. The calculation puts the total magnetization at 0.00 μB/f.u. Its raw formation energy is -117.0 kJ per mole of atoms.

4.
DFT (PBE) results for a relaxed Cu2AsIr crystal.

abc: 2.754 2.754 7.604
angles: 90.00 90.00 90.00
Sites, in units of the cell vectors:
As  0.500  0.500  0.750
Cu  0.000  0.000  0.012
Cu  0.000  0.000  0.488
Ir  0.500  0.500  0.250

Computed properties:
As for the formation energy from the elements: 0.25 eV/atom. As for the total DFT energy (no corrections): -20.69 eV/cell. For the density of states at the Fermi level, the calculation gives 3.930 states/eV/cell. The calculation puts the total magnetization at 0.00 μB/f.u.

5.
DFT (PBE) results for a relaxed SmHoBe2Pd5 crystal.

abc: 4.065 4.065 9.026
angles: 90.00 90.00 90.00
Sites, in units of the cell vectors:
Sm  0.000  0.000  0.500
Ho  0.000  0.000  0.000
Be  0.500  0.500  0.132
Be  0.500  0.500  0.868
Pd  0.000  0.500  0.253
Pd  0.500  0.000  0.253
Pd  0.000  0.500  0.747
Pd  0.500  0.000  0.747
Pd  0.500  0.500  0.500

Computed properties:
As for the formation energy from the elements: -0.71 eV/atom. As for the total DFT energy (no corrections): -49.14 eV/cell. For the density of states at the Fermi level, the calculation gives 3.499 states/eV/cell. The calculation puts the total magnetization at 0.00 μB/f.u.

6.
DFT (PBE) results for a relaxed TaBe2Zn crystal.

abc: 4.170 4.170 4.170
angles: 60.00 60.00 60.00
Sites, in units of the cell vectors:
Be  0.000  0.000  0.000
Be  0.750  0.750  0.750
Zn  0.250  0.250  0.250
Ta  0.500  0.500  0.500

Computed properties:
As for the formation energy from the elements: 0.39 eV/atom. As for the total DFT energy (no corrections): -19.03 eV/cell. For the density of states at the Fermi level, the calculation gives 1.713 states/eV/cell. The calculation puts the total magnetization at 0.00 μB/f.u.

7.
DFT (PBE) results for a relaxed NdDy6Hg3 crystal.

abc: 5.038 11.428 15.364
angles: 137.88 90.00 90.00
Sites, in units of the cell vectors:
Nd  0.250  0.627  0.747
Nd  0.750  0.373  0.253
Dy  0.250  0.079  0.464
Dy  0.750  0.921  0.536
Dy  0.250  0.143  0.030
Dy  0.750  0.857  0.970
Dy  0.250  0.635  0.019
Dy  0.750  0.365  0.981
Dy  0.250  0.599  0.244
Dy  0.750  0.401  0.756
Dy  0.250  0.335  0.404
Dy  0.750  0.665  0.596
Dy  0.250  0.010  0.750
Dy  0.750  0.990  0.250
Hg  0.250  0.255  0.741
Hg  0.750  0.745  0.259
Hg  0.250  0.661  0.471
Hg  0.750  0.339  0.529
Hg  0.250  0.999  0.131
Hg  0.750  0.001  0.869

Computed properties:
As for the formation energy from the elements: -0.22 eV/atom. As for the total DFT energy (no corrections): -71.02 eV/cell. For the density of states at the Fermi level, the calculation gives 19.689 states/eV/cell. The calculation puts the total magnetization at 0.00 μB/f.u.

8.
DFT (PBE) results for a relaxed LiCrSe2 crystal.

abc: 3.956 3.956 7.190
angles: 90.00 90.00 125.70
Sites, in units of the cell vectors:
Cr  0.500  0.500  0.250
Li  0.500  0.500  0.750
Se  0.000  0.000  0.017
Se  0.000  0.000  0.483

Computed properties:
As for the total DFT energy (no corrections): -20.34 eV/cell. For the density of states at the Fermi level, the calculation gives 2.461 states/eV/cell. The calculation puts the total magnetization at 3.00 μB/f.u. Its raw formation energy is -44.2 kJ per mole of atoms.

9.
DFT (PBE) results for a relaxed LiLaMn2 crystal.

abc: 4.496 3.168 5.813
angles: 74.18 90.00 90.00
Sites, in units of the cell vectors:
La  0.500  0.250  0.250
Li  0.500  0.750  0.750
Mn  0.000  0.925  0.960
Mn  0.000  0.575  0.540

Computed properties:
As for the formation energy from the elements: 0.48 eV/atom. The value obtained for the distance to the lowest polymorph of the same formula is 0.2082 eV per atom. As for the total DFT energy (no corrections): -23.26 eV/cell. For the density of states at the Fermi level, the calculation gives 3.774 states/eV/cell. The calculation puts the total magnetization at 6.84 μB/f.u.

10.
DFT (PBE) results for a relaxed VZn2ReI crystal.

abc: 5.053 5.191 5.053
angles: 90.00 90.00 90.00
Sites, in units of the cell vectors:
I  0.000  0.500  0.000
Re  0.500  0.500  0.500
Zn  0.000  0.000  0.500
Zn  0.500  0.000  0.000
V  0.000  0.000  0.000

Computed properties:
As for the total DFT energy (no corrections): -17.09 eV/cell. For the density of states at the Fermi level, the calculation gives 4.661 states/eV/cell. The calculation puts the total magnetization at 1.67 μB/f.u. Its raw formation energy is 165.4 kJ per mole of atoms.

11.
DFT (PBE) results for a relaxed KLiAl crystal.

abc: 6.807 6.806 3.743
angles: 74.05 74.03 31.91
Sites, in units of the cell vectors:
Al  0.050  0.050  0.950
K  0.340  0.340  0.660
Li  0.610  0.610  0.390

Computed properties:
As for the formation energy from the elements: 0.21 eV/atom. The value obtained for the distance to the lowest polymorph of the same formula is 0.2170 eV per atom. As for the total DFT energy (no corrections): -6.11 eV/cell. For the density of states at the Fermi level, the calculation gives 2.621 states/eV/cell. The calculation puts the total magnetization at 0.00 μB/f.u.

12.
DFT (PBE) results for a relaxed Mg2BeWSe crystal.

abc: 4.845 4.665 4.845
angles: 90.00 90.00 90.00
Sites, in units of the cell vectors:
Be  0.500  0.500  0.500
Mg  0.000  0.000  0.500
Mg  0.500  0.000  0.000
Se  0.000  0.000  0.000
W  0.000  0.500  0.000

Computed properties:
As for the total DFT energy (no corrections): -17.89 eV/cell. For the density of states at the Fermi level, the calculation gives 2.541 states/eV/cell. The calculation puts the total magnetization at 0.98 μB/f.u. Its raw formation energy is 105.5 kJ per mole of atoms.